# Pr7Nd16Er6 | Alexandria | PBE-GGA | relaxed
data_Pr7Nd16Er6
_cell_length_a 16.163
_cell_length_b 16.163
_cell_length_c 16.163
_cell_angle_alpha 90.00
_cell_angle_beta 90.00
_cell_angle_gamma 90.00
_space_group_name_H-M_alt 'F m -3 m'
_space_group_IT_number 225
_space_group_name_Hall '-F 4 2 3'
loop_
_atom_site_label
_atom_site_type_symbol
_atom_site_fract_x
_atom_site_fract_y
_atom_site_fract_z
Pr1 Pr 0.000 0.000 0.000
Pr2 Pr 0.000 0.250 0.250
Nd1 Nd 0.126 0.126 0.126
Nd2 Nd 0.151 0.151 0.349
Er1 Er 0.000 0.000 0.262
# formation energy	0.23	eV per atom
# electronic total energy	-521.5	eV/cell
# mass density	6.76	Mg/m³

# Pr5Y2Ho | Alexandria | PBE-GGA | relaxed
data_Pr5Y2Ho
_cell_length_a 7.301
_cell_length_b 14.613
_cell_length_c 5.175
_cell_angle_alpha 90.00
_cell_angle_beta 90.00
_cell_angle_gamma 90.00
_space_group_name_H-M_alt 'P b a m'
_space_group_IT_number 55
loop_
_space_group_symop_operation_xyz
'x,y,z'
'-x,-y,-z'
'-x,-y,z'
'x,y,-z'
'x+1/2,-y+1/2,-z'
'-x+1/2,y+1/2,z'
'-x+1/2,y+1/2,-z'
'x+1/2,-y+1/2,z'
loop_
_atom_site_label
_atom_site_type_symbol
_atom_site_fract_x
_atom_site_fract_y
_atom_site_fract_z
Pr1 Pr 0.000 0.000 0.000
Pr2 Pr 0.001 0.252 0.000
Pr3 Pr 0.248 0.624 0.500
Y1 Y 0.250 0.377 0.500
Ho1 Ho 0.000 0.500 0.000
# formation energy	0.01	eV per atom
# electronic total energy	-82.6	eV/cell
# E above lowest polymorph	0.00	eV per formula unit
# mass density	6.30	Mg/m³

# ZrTiNi6 | Alexandria | PBE-GGA | relaxed
data_ZrTiNi6
_cell_length_a 7.361
_cell_length_b 10.422
_cell_length_c 10.445
_cell_angle_alpha 90.00
_cell_angle_beta 90.00
_cell_angle_gamma 90.00
_space_group_name_H-M_alt 'C m m m'
_space_group_IT_number 65
_space_group_name_Hall '-C 2 2'
loop_
_atom_site_label
_atom_site_type_symbol
_atom_site_fract_x
_atom_site_fract_y
_atom_site_fract_z
Zr1 Zr 0.000 0.000 0.247
Zr2 Zr 0.000 0.248 0.500
Ti1 Ti 0.000 0.248 0.000
Ti2 Ti 0.000 0.500 0.246
Ni1 Ni 0.000 0.000 0.000
Ni2 Ni 0.000 0.000 0.500
Ni3 Ni 0.000 0.254 0.243
Ni4 Ni 0.000 0.500 0.000
Ni5 Ni 0.000 0.500 0.500
Ni6 Ni 0.244 0.373 0.121
Ni7 Ni 0.244 0.377 0.370
# formation energy	-0.43	eV per atom
# electronic total energy	-436.5	eV/cell
# mass density	8.14	Mg/m³

# Cd2CoSb | Alexandria | PBE-GGA | relaxed
data_Cd2CoSb
_cell_length_a 2.986
_cell_length_b 4.138
_cell_length_c 13.322
_cell_angle_alpha 90.00
_cell_angle_beta 90.00
_cell_angle_gamma 90.00
_space_group_name_H-M_alt 'I m m m'
_space_group_IT_number 71
_space_group_name_Hall '-I 2 2'
loop_
_atom_site_label
_atom_site_type_symbol
_atom_site_fract_x
_atom_site_fract_y
_atom_site_fract_z
Cd1 Cd 0.000 0.000 0.185
Co1 Co 0.000 0.500 0.500
Sb1 Sb 0.000 0.500 0.000
# electronic total energy	-25.1	eV/cell
# E_form (uncorrected)	0.1277	eV per atom
# mass density	8.18	Mg/m³

# LaMn3Au | Alexandria | PBE-GGA | relaxed
data_LaMn3Au
_cell_length_a 4.710
_cell_length_b 4.710
_cell_length_c 4.710
_cell_angle_alpha 90.00
_cell_angle_beta 90.00
_cell_angle_gamma 90.00
_space_group_name_H-M_alt 'P m -3 m'
_space_group_IT_number 221
_space_group_name_Hall '-P 4 2 3'
loop_
_atom_site_label
_atom_site_type_symbol
_atom_site_fract_x
_atom_site_fract_y
_atom_site_fract_z
La1 La 0.000 0.000 0.000
Mn1 Mn 0.000 0.000 0.500
Au1 Au 0.500 0.500 0.500
# formation energy	1.54	eV per atom
# electronic total energy	-28.0	eV/cell
# E above lowest polymorph	4.96	eV per formula unit
# mass density	7.96	Mg/m³

# SrAgSn2S4 | Alexandria | PBE-GGA | relaxed
data_SrAgSn2S4
_cell_length_a 4.102
_cell_length_b 13.315
_cell_length_c 14.180
_cell_angle_alpha 90.00
_cell_angle_beta 90.00
_cell_angle_gamma 90.00
_space_group_name_H-M_alt 'C m c m'
_space_group_IT_number 63
_space_group_name_Hall '-C 2c 2'
loop_
_atom_site_label
_atom_site_type_symbol
_atom_site_fract_x
_atom_site_fract_y
_atom_site_fract_z
Sr1 Sr 0.000 0.121 0.250
Ag1 Ag 0.000 0.149 0.750
Sn1 Sn 0.000 0.371 0.056
S1 S 0.000 0.000 0.000
S2 S 0.000 0.276 0.614
S3 S 0.000 0.459 0.250
# electronic total energy	-138.7	eV/cell
# E_form (uncorrected)	-0.7046	eV per atom
# mass density	4.81	Mg/m³

# Mg12TlIn4 | Alexandria | PBE-GGA | relaxed
data_Mg12TlIn4
_cell_length_a 9.999
_cell_length_b 9.999
_cell_length_c 9.999
_cell_angle_alpha 90.00
_cell_angle_beta 90.00
_cell_angle_gamma 90.00
_space_group_name_H-M_alt 'I m -3'
_space_group_IT_number 204
_space_group_name_Hall '-I 2 2 3'
loop_
_atom_site_label
_atom_site_type_symbol
_atom_site_fract_x
_atom_site_fract_y
_atom_site_fract_z
Mg1 Mg 0.000 0.160 0.346
Tl1 Tl 0.000 0.000 0.000
In1 In 0.250 0.250 0.250
# formation energy	0.26	eV per atom
# electronic total energy	-56.0	eV/cell
# mass density	3.17	Mg/m³

# RbAg3O | Alexandria | PBE-GGA | relaxed
data_RbAg3O
_cell_length_a 4.813
_cell_length_b 4.813
_cell_length_c 4.813
_cell_angle_alpha 90.00
_cell_angle_beta 90.00
_cell_angle_gamma 90.00
_space_group_name_H-M_alt 'P m -3 m'
_space_group_IT_number 221
_space_group_name_Hall '-P 4 2 3'
loop_
_atom_site_label
_atom_site_type_symbol
_atom_site_fract_x
_atom_site_fract_y
_atom_site_fract_z
Rb1 Rb 0.000 0.000 0.000
Ag1 Ag 0.000 0.500 0.500
O1 O 0.500 0.500 0.500
# electronic total energy	-13.9	eV/cell
# E_form (uncorrected)	0.1164	eV per atom
# E above lowest polymorph	0.00	eV per formula unit
# mass density	6.33	Mg/m³

# Na3Er3TmSe8 | Alexandria | PBE-GGA | relaxed
data_Na3Er3TmSe8
_cell_length_a 14.136
_cell_length_b 8.155
_cell_length_c 8.498
_cell_angle_alpha 90.00
_cell_angle_beta 123.73
_cell_angle_gamma 90.00
_space_group_name_H-M_alt 'C 1 2/m 1'
_space_group_IT_number 12
loop_
_space_group_symop_operation_xyz
'x,y,z'
'-x,-y,-z'
'-x,y,-z'
'x,-y,z'
'x+1/2,y+1/2,z'
'-x+1/2,-y+1/2,-z'
'-x+1/2,y+1/2,-z'
'x+1/2,-y+1/2,z'
loop_
_atom_site_label
_atom_site_type_symbol
_atom_site_fract_x
_atom_site_fract_y
_atom_site_fract_z
Na1 Na 0.000 0.000 0.000
Na2 Na 0.250 0.250 0.000
Er1 Er 0.000 0.500 0.500
Er2 Er 0.250 0.250 0.500
Tm1 Tm 0.000 0.000 0.500
Se1 Se 0.008 0.250 0.275
Se2 Se 0.242 0.000 0.725
Se3 Se 0.243 0.500 0.729
# electronic total energy	-148.7	eV/cell
# E_form (uncorrected)	-1.6225	eV per atom
# mass density	5.59	Mg/m³

# Cd3H2Pt5 | Alexandria | PBE-GGA | relaxed
data_Cd3H2Pt5
_cell_length_a 8.464
_cell_length_b 11.745
_cell_length_c 5.849
_cell_angle_alpha 90.00
_cell_angle_beta 90.00
_cell_angle_gamma 90.00
_space_group_name_H-M_alt 'I b a m'
_space_group_IT_number 72
_space_group_name_Hall '-I 2 2c'
loop_
_atom_site_label
_atom_site_type_symbol
_atom_site_fract_x
_atom_site_fract_y
_atom_site_fract_z
Cd1 Cd 0.000 0.000 0.250
Cd2 Cd 0.242 0.363 0.000
H1 H 0.076 0.176 0.000
Pt1 Pt 0.000 0.253 0.250
Pt2 Pt 0.000 0.500 0.250
Pt3 Pt 0.239 0.394 0.500
# electronic total energy	-164.3	eV/cell
# mass density	15.02	Mg/m³

# Al3GeB | Alexandria | PBE-GGA | relaxed
data_Al3GeB
_cell_length_a 4.820
_cell_length_b 4.820
_cell_length_c 4.820
_cell_angle_alpha 90.00
_cell_angle_beta 90.00
_cell_angle_gamma 90.00
_space_group_name_H-M_alt 'P m -3 m'
_space_group_IT_number 221
_space_group_name_Hall '-P 4 2 3'
loop_
_atom_site_label
_atom_site_type_symbol
_atom_site_fract_x
_atom_site_fract_y
_atom_site_fract_z
Al1 Al 0.000 0.000 0.500
Ge1 Ge 0.000 0.000 0.000
B1 B 0.500 0.500 0.500
# formation energy	1.46	eV per atom
# electronic total energy	-15.2	eV/cell
# E above lowest polymorph	6.14	eV per formula unit
# mass density	2.44	Mg/m³

# Ca3NdMg4 | Alexandria | PBE-GGA | relaxed
data_Ca3NdMg4
_cell_length_a 3.907
_cell_length_b 3.907
_cell_length_c 16.103
_cell_angle_alpha 90.00
_cell_angle_beta 90.00
_cell_angle_gamma 90.00
_space_group_name_H-M_alt 'P 4/m m m'
_space_group_IT_number 123
_space_group_name_Hall '-P 4 2'
loop_
_atom_site_label
_atom_site_type_symbol
_atom_site_fract_x
_atom_site_fract_y
_atom_site_fract_z
Ca1 Ca 0.000 0.000 0.000
Ca2 Ca 0.000 0.000 0.252
Nd1 Nd 0.000 0.000 0.500
Mg1 Mg 0.500 0.500 0.126
Mg2 Mg 0.500 0.500 0.378
# formation energy	-0.08	eV per atom
# electronic total energy	-17.8	eV/cell
# mass density	2.44	Mg/m³

# Ce2Cd6Ag | Alexandria | PBE-GGA | relaxed
data_Ce2Cd6Ag
_cell_length_a 8.9203
_cell_length_b 8.9203
_cell_length_c 3.0849
_cell_angle_alpha 90.00
_cell_angle_beta 90.00
_cell_angle_gamma 120.00
_space_group_name_H-M_alt 'P 6/m m m'
_space_group_IT_number 191
_space_group_name_Hall '-P 6 2'
loop_
_atom_site_label
_atom_site_type_symbol
_atom_site_fract_x
_atom_site_fract_y
_atom_site_fract_z
Ce1 Ce 0.3333 0.6667 0.0000
Cd1 Cd 0.0000 0.3216 0.5000
Ag1 Ag 0.0000 0.0000 0.0000
# formation energy	-0.15	eV per atom
# electronic total energy	-21.5	eV/cell
# mass density	8.30	Mg/m³

# Y3Tl2In | Alexandria | PBE-GGA | relaxed
data_Y3Tl2In
_cell_length_a 3.691
_cell_length_b 3.691
_cell_length_c 11.980
_cell_angle_alpha 90.00
_cell_angle_beta 90.00
_cell_angle_gamma 90.00
_space_group_name_H-M_alt 'P 4/m m m'
_space_group_IT_number 123
_space_group_name_Hall '-P 4 2'
loop_
_atom_site_label
_atom_site_type_symbol
_atom_site_fract_x
_atom_site_fract_y
_atom_site_fract_z
Y1 Y 0.000 0.000 0.000
Y2 Y 0.000 0.000 0.336
Tl1 Tl 0.500 0.500 0.167
In1 In 0.500 0.500 0.500
# formation energy	-0.42	eV per atom
# electronic total energy	-29.4	eV/cell
# mass density	8.04	Mg/m³

# ZrScRu2 | Alexandria | PBE-GGA | relaxed
data_ZrScRu2
_cell_length_a 3.812
_cell_length_b 3.812
_cell_length_c 9.605
_cell_angle_alpha 90.00
_cell_angle_beta 90.00
_cell_angle_gamma 90.00
_space_group_name_H-M_alt 'I -4 m 2'
_space_group_IT_number 119
_space_group_name_Hall 'I -4 -2'
loop_
_atom_site_label
_atom_site_type_symbol
_atom_site_fract_x
_atom_site_fract_y
_atom_site_fract_z
Zr1 Zr 0.000 0.000 0.000
Sc1 Sc 0.000 0.500 0.250
Ru1 Ru 0.000 0.000 0.500
Ru2 Ru 0.000 0.500 0.750
# formation energy	-0.32	eV per atom
# electronic total energy	-69.4	eV/cell
# mass density	8.05	Mg/m³

# In2OsAu | Alexandria | PBE-GGA | relaxed
data_In2OsAu
_cell_length_a 2.963
_cell_length_b 4.514
_cell_length_c 12.374
_cell_angle_alpha 90.00
_cell_angle_beta 90.00
_cell_angle_gamma 90.00
_space_group_name_H-M_alt 'I m m 2'
_space_group_IT_number 44
loop_
_space_group_symop_operation_xyz
'x,y,z'
'-x,-y,z'
'-x,y,z'
'x,-y,z'
'x+1/2,y+1/2,z+1/2'
'-x+1/2,-y+1/2,z+1/2'
'-x+1/2,y+1/2,z+1/2'
'x+1/2,-y+1/2,z+1/2'
loop_
_atom_site_label
_atom_site_type_symbol
_atom_site_fract_x
_atom_site_fract_y
_atom_site_fract_z
In1 In 0.000 0.000 0.000
In2 In 0.000 0.500 0.208
Os1 Os 0.000 0.500 0.692
Au1 Au 0.000 0.000 0.389
# formation energy	0.24	eV per atom
# electronic total energy	-38.0	eV/cell
# mass density	12.38	Mg/m³

# MnAg4Ru | Alexandria | PBE-GGA | relaxed
data_MnAg4Ru
_cell_length_a 7.538
_cell_length_b 7.538
_cell_length_c 7.538
_cell_angle_alpha 90.00
_cell_angle_beta 90.00
_cell_angle_gamma 90.00
_space_group_name_H-M_alt 'F -4 3 m'
_space_group_IT_number 216
_space_group_name_Hall 'F -4 2 3'
loop_
_atom_site_label
_atom_site_type_symbol
_atom_site_fract_x
_atom_site_fract_y
_atom_site_fract_z
Mn1 Mn 0.000 0.000 0.000
Ag1 Ag 0.125 0.125 0.375
Ru1 Ru 0.250 0.250 0.750
# formation energy	0.63	eV per atom
# electronic total energy	-104.2	eV/cell
# mass density	9.11	Mg/m³

# Cs2AlI4 | Alexandria | PBE-GGA | relaxed
data_Cs2AlI4
_cell_length_a 5.830
_cell_length_b 5.830
_cell_length_c 19.465
_cell_angle_alpha 90.00
_cell_angle_beta 90.00
_cell_angle_gamma 90.00
_space_group_name_H-M_alt 'I 4/m m m'
_space_group_IT_number 139
_space_group_name_Hall '-I 4 2'
loop_
_atom_site_label
_atom_site_type_symbol
_atom_site_fract_x
_atom_site_fract_y
_atom_site_fract_z
Cs1 Cs 0.000 0.000 0.143
Al1 Al 0.000 0.000 0.500
I1 I 0.000 0.000 0.344
I2 I 0.000 0.500 0.000
# electronic total energy	-38.2	eV/cell
# E_form (uncorrected)	-1.0607	eV per atom
# mass density	4.02	Mg/m³

# TaCdCu2 | Alexandria | PBE-GGA | relaxed
data_TaCdCu2
_cell_length_a 4.760
_cell_length_b 4.760
_cell_length_c 2.780
_cell_angle_alpha 90.00
_cell_angle_beta 90.00
_cell_angle_gamma 90.00
_space_group_name_H-M_alt 'P 4/m m m'
_space_group_IT_number 123
_space_group_name_Hall '-P 4 2'
loop_
_atom_site_label
_atom_site_type_symbol
_atom_site_fract_x
_atom_site_fract_y
_atom_site_fract_z
Ta1 Ta 0.000 0.000 0.000
Cd1 Cd 0.500 0.500 0.000
Cu1 Cu 0.000 0.500 0.500
# formation energy	0.25	eV per atom
# electronic total energy	-20.0	eV/cell
# mass density	11.09	Mg/m³

# Na11Hg9Pb4 | Alexandria | PBE-GGA | relaxed
data_Na11Hg9Pb4
_cell_length_a 16.639
_cell_length_b 21.857
_cell_length_c 3.565
_cell_angle_alpha 90.00
_cell_angle_beta 90.00
_cell_angle_gamma 90.00
_space_group_name_H-M_alt 'C m m m'
_space_group_IT_number 65
_space_group_name_Hall '-C 2 2'
loop_
_atom_site_label
_atom_site_type_symbol
_atom_site_fract_x
_atom_site_fract_y
_atom_site_fract_z
Na1 Na 0.000 0.000 0.000
Na2 Na 0.000 0.193 0.000
Na3 Na 0.000 0.365 0.000
Na4 Na 0.206 0.000 0.000
Na5 Na 0.225 0.173 0.000
Hg1 Hg 0.000 0.500 0.500
Hg2 Hg 0.100 0.095 0.500
Hg3 Hg 0.122 0.272 0.500
Pb1 Pb 0.156 0.424 0.500
# formation energy	-0.19	eV per atom
# electronic total energy	-73.3	eV/cell
# mass density	7.40	Mg/m³